Density functional theory data (PBE) for a geometry-optimized Tb2CdOsC structure.

The structure in extended XYZ format:
```
5
Lattice="3.934 0.000 0.000 0.000 5.058 0.000 0.000 0.000 5.058" Properties=species:S:1:pos:R:3 pbc="T T T"
Tb 0.000 0.000 2.529
Tb 0.000 2.529 0.000
Cd 1.967 2.529 2.529
C 0.000 0.000 0.000
Os 1.967 0.000 0.000
```

Density functional theory data (PBE) for a geometry-optimized Cd3PC structure.

The structure in extended XYZ format:
```
5
Lattice="-0.581 1.430 4.299 -4.522 0.093 -0.642 -0.288 -4.338 1.403" Properties=species:S:1:pos:R:3 pbc="T T T"
P -2.696 -1.408 2.530
Cd -2.261 0.046 -0.321
Cd -0.144 -2.169 0.702
Cd -0.291 0.715 2.150
C 0.000 0.000 0.000
```

## Properties
Its relative energy among the computed polymorphs is 0.0 meV/atom.

The calculation returns the following size of the total moment values, one per record and in order: 0.0; 0.0 μB/f.u..
The calculation returns the following formation energy values, one per record and in order: -0.378; 0.831 eV per atom.
The calculation returns the following D(E_F) values, one per record and in order: 0.367; 0.824 states/eV per atom.